# 1
Below is Sr2GdS after structural relaxation, with properties calculated at the PBE-GGA level.

POSCAR file:
```
Sr2GdS
1.0
1.989 1.148 10.968
-1.989 1.148 10.968
0.000 -2.296 10.968
Sr Gd S
2 1 1
direct
0.110 0.110 0.110 Sr
0.890 0.890 0.890 Sr
0.000 0.000 0.000 Gd
0.500 0.500 0.500 S
```

Calculated values
Formation energy from raw total energies, eV/atom: -0.7199
Volume, Å³ per cell: 150
Space group: No. 166
DFT total energy, eV per cell: -24.5

---

# 2
Below is W5Cl4 after structural relaxation, with properties calculated at the PBE-GGA level.

POSCAR file:
```
W5Cl4
1.0
-5.151 5.151 1.470
5.151 -5.151 1.470
5.151 5.151 -1.470
W Cl
5 4
direct
0.000 0.000 0.000 W
0.345 0.345 0.690 W
0.345 0.655 0.000 W
0.655 0.345 0.000 W
0.655 0.655 0.310 W
0.000 0.301 0.301 Cl
0.000 0.699 0.699 Cl
0.301 0.000 0.301 Cl
0.699 0.000 0.699 Cl
```

Calculated values
Formation energy from raw total energies, eV/atom: 0.6829
Volume, Å³ per cell: 156
Space group: No. 139
DFT total energy, eV per cell: -66.0

---

# 3
Below is Zn2TeP after structural relaxation, with properties calculated at the PBE-GGA level.

POSCAR file:
```
Zn2TeP
1.0
-1.866 3.013 3.767
1.866 -3.013 3.767
1.866 3.013 -3.767
Zn Te P
2 1 1
direct
0.212 0.212 0.000 Zn
0.788 0.788 0.000 Zn
0.500 0.000 0.500 Te
0.000 0.500 0.500 P
```

Calculated values
Formation energy from raw total energies, eV/atom: 0.2486
Volume, Å³ per cell: 85
Space group: No. 71
DFT total energy, eV per cell: -10.1

---

# 4
Below is AsPdAu after structural relaxation, with properties calculated at the PBE-GGA level.

POSCAR file:
```
AsPdAu
1.0
3.119 0.000 0.000
-1.560 2.701 0.000
0.000 0.000 6.300
As Pd Au
1 1 1
direct
0.000 0.000 0.000 As
0.333 0.667 0.719 Pd
0.667 0.333 0.366 Au
```

Calculated values
Energy of formation from the pure elements, eV/atom: -0.072
Volume, Å³ per cell: 53
Space group: No. 156
DFT total energy, eV per cell: -13.3

---

# 5
Below is Li8ZnBi6 after structural relaxation, with properties calculated at the PBE-GGA level.

POSCAR file:
```
Li8ZnBi6
1.0
4.160 2.402 5.828
-4.160 2.402 5.828
0.000 -4.804 5.828
Li Zn Bi
8 1 6
direct
0.124 0.753 0.443 Li
0.164 0.164 0.164 Li
0.247 0.557 0.876 Li
0.443 0.124 0.753 Li
0.557 0.876 0.247 Li
0.753 0.443 0.124 Li
0.836 0.836 0.836 Li
0.876 0.247 0.557 Li
0.500 0.500 0.500 Zn
0.052 0.393 0.745 Bi
0.255 0.948 0.607 Bi
0.393 0.745 0.052 Bi
0.607 0.255 0.948 Bi
0.745 0.052 0.393 Bi
0.948 0.607 0.255 Bi
```

Calculated values
Energy of formation from the pure elements, eV/atom: -0.223
Volume, Å³ per cell: 349
Space group: No. 148
DFT total energy, eV per cell: -43.2

---

# 6
Below is BeTlPb3 after structural relaxation, with properties calculated at the PBE-GGA level.

POSCAR file:
```
BeTlPb3
1.0
5.888 0.000 0.000
0.000 5.888 0.000
0.000 0.000 5.888
Be Tl Pb
1 1 3
direct
0.000 0.000 0.000 Be
0.500 0.500 0.500 Tl
0.000 0.500 0.500 Pb
0.500 0.000 0.500 Pb
0.500 0.500 0.000 Pb
```

Calculated values
Energy of formation from the pure elements, eV/atom: 1.149
Volume, Å³ per cell: 204
Space group: No. 221
DFT total energy, eV per cell: -11.5

---

Number 1: DOS at the Fermi energy 2.0763 states/eV/atom. Number 2: DOS at the Fermi energy 0.7182 states/eV/atom. Number 3: DOS at the Fermi energy 0.5610 states/eV/atom. Number 4: DOS at the Fermi energy 0.3760 states/eV/atom. Number 5: DOS at the Fermi energy 0.4663 states/eV/atom. Number 6: DOS at the Fermi energy 1.0204 states/eV/atom.